! PBE Sm5CdAg4, optimized geometry; values from VASP
&SYSTEM
  ibrav = 0, nat = 10, ntyp = 3
/
ATOMIC_SPECIES
Ag 107.87 Ag.upf
Sm 150.36 Sm.upf
Cd 112.41 Cd.upf
CELL_PARAMETERS angstrom
-1.2481 -0.4223 3.4837
-1.8350 -3.0731 -1.0300
15.0232 -10.3540 4.1269
ATOMIC_POSITIONS crystal
Ag 0.0000 0.0000 0.2029
Ag 0.0000 0.0000 0.7971
Ag 0.0000 0.0000 0.5983
Ag 0.0000 0.0000 0.4017
Sm 0.5000 0.5000 0.5000
Sm 0.5000 0.5000 0.1047
Sm 0.5000 0.5000 0.6978
Sm 0.5000 0.5000 0.8953
Sm 0.5000 0.5000 0.3022
Cd 0.0000 0.0000 0.0000
! VASP energy in eV per atom: -3.880
! V in Å³/cell: 260
! Mass density in g/cm3: 8.3
! SG: P4/mmm (123)
! DOS(E_F) in states/eV/cell: 7.05

! PBE Ho4Sn2O, optimized geometry; values from VASP
&SYSTEM
  ibrav = 0, nat = 7, ntyp = 3
/
ATOMIC_SPECIES
Sn 118.71 Sn.upf
O 16.00 O.upf
Ho 164.93 Ho.upf
CELL_PARAMETERS angstrom
-3.2239 -1.4599 -2.8545
3.1745 -2.0212 -2.5516
-0.8488 -8.7089 1.7915
ATOMIC_POSITIONS crystal
Sn 0.3607 0.3607 0.2785
Sn 0.6393 0.6393 0.7215
O 0.0000 0.0000 0.0000
Ho 0.5000 0.0000 0.0000
Ho 0.1735 0.1735 0.6530
Ho 0.0000 0.5000 0.0000
Ho 0.8265 0.8265 0.3470
! Formation energy from raw total energies in eV per atom: -1.29
! VASP energy in eV per atom: -5.762
! V in Å³/cell: 172
! Mass density in g/cm3: 8.8
! SG: I4/mmm (139)
! DOS(E_F) in states/eV/cell: 7.67

! PBE Hf2BeBr, optimized geometry; values from VASP
&SYSTEM
  ibrav = 0, nat = 8, ntyp = 3
/
ATOMIC_SPECIES
Be 9.01 Be.upf
Br 79.90 Br.upf
Hf 178.49 Hf.upf
CELL_PARAMETERS angstrom
-2.4531 -0.7391 -4.9829
3.0031 -4.6644 -0.7866
-4.1116 -5.9719 -0.2401
ATOMIC_POSITIONS crystal
Be 0.2500 0.7500 0.5000
Be 0.5000 0.5000 0.0000
Br 0.7500 0.2500 0.5000
Br 0.0000 0.0000 0.0000
Hf 0.3750 0.4375 0.7500
Hf 0.8750 0.8125 0.7500
Hf 0.1875 0.6250 0.2500
Hf 0.5625 0.1250 0.2500
! Formation energy from raw total energies in eV per atom: 0.59
! VASP energy in eV per atom: -5.737
! V in Å³/cell: 191
! Mass density in g/cm3: 7.8
! SG: I-42d (122)
! DOS(E_F) in states/eV/cell: 3.17